# 1
{"formula": "TbInPd", "functional": "PBE", "state": "optimized geometry", "lattice": [[4.6330, 0.0000, 0.0000], [0.0000, 9.7401, 0.0000], [0.0000, 0.0000, 5.9346]], "species": ["Tb", "Tb", "Tb", "Tb", "In", "In", "In", "In", "Pd", "Pd", "Pd", "Pd"], "frac_coords": [[0.0000, 0.1943, 0.2500], [0.0000, 0.8057, 0.7500], [0.5000, 0.3057, 0.7500], [0.5000, 0.6943, 0.2500], [0.0000, 0.5000, 0.0000], [0.0000, 0.5000, 0.5000], [0.5000, 0.0000, 0.0000], [0.5000, 0.0000, 0.5000], [0.0000, 0.1115, 0.7500], [0.0000, 0.8885, 0.2500], [0.5000, 0.3885, 0.2500], [0.5000, 0.6115, 0.7500]], "energy_ev_per_atom": -4.919, "spacegroup": "Cmcm (63)"}

***

# 2
{"formula": "V2Ir4Ru3", "functional": "PBE", "state": "optimized geometry", "lattice": [[4.7303, 0.0000, 0.0000], [-0.0257, 6.9892, 0.0000], [-2.3578, -2.6322, 7.6405]], "species": ["V", "V", "V", "V", "Ir", "Ir", "Ir", "Ir", "Ir", "Ir", "Ir", "Ir", "Ru", "Ru", "Ru", "Ru", "Ru", "Ru"], "frac_coords": [[0.0081, 0.0853, 0.1727], [0.2325, 0.6332, 0.6067], [0.7675, 0.3668, 0.3933], [0.9919, 0.9147, 0.8273], [0.1129, 0.7037, 0.0565], [0.3294, 0.2518, 0.5000], [0.3321, 0.4183, 0.8332], [0.4398, 0.0204, 0.7206], [0.5602, 0.9796, 0.2794], [0.6679, 0.5817, 0.1668], [0.6706, 0.7482, 0.5000], [0.8871, 0.2963, 0.9435], [0.1098, 0.8596, 0.3907], [0.2152, 0.4680, 0.2766], [0.4430, 0.1904, 0.0543], [0.5570, 0.8096, 0.9457], [0.7848, 0.5320, 0.7234], [0.8902, 0.1404, 0.6093]], "energy_ev_per_atom": -9.315, "spacegroup": "P-1 (2)"}

***

# 3
{"formula": "TlReP2", "functional": "PBE", "state": "optimized geometry", "lattice": [[4.0395, 0.0000, 0.0000], [0.0000, 3.1625, 0.0000], [-2.0101, 0.0000, 6.0823]], "species": ["Tl", "Re", "P", "P"], "frac_coords": [[0.0000, 0.0000, 0.0000], [0.6337, 0.5000, 0.2649], [0.2665, 0.5000, 0.4780], [0.9229, 0.0000, 0.5479]], "energy_ev_per_atom": -6.130, "spacegroup": "Pm (6)"}